Record 1
An optimized crystal structure of Be3CuAu, computed with PBEsol.

a b c (Å): 3.9754 3.9754 3.9754
angles (deg): 90.00 90.00 90.00
Atoms (fractional coordinates):
Be: 0.0000 0.0000 0.5000
Be: 0.0000 0.5000 0.0000
Be: 0.5000 0.0000 0.0000
Cu: 0.0000 0.0000 0.0000
Au: 0.5000 0.5000 0.5000

Values from the calculation:
Magnetization in μB/f.u.: 0.00
N(E_F) in states/eV per cell: 1.636
Energy relative to the elements in eV per atom: 0.577
E in eV/atom: -3.47


Record 2
An optimized crystal structure of BeCuAu2, computed with PBEsol.

a b c (Å): 4.2059 4.2059 3.0481
angles (deg): 90.00 90.00 90.00
Atoms (fractional coordinates):
Be: 0.0000 0.0000 0.0000
Cu: 0.5000 0.5000 0.0000
Au: 0.0000 0.5000 0.5000
Au: 0.5000 0.0000 0.5000

Values from the calculation:
Magnetization in μB/f.u.: 0.00
N(E_F) in states/eV per cell: 1.421
Energy relative to the elements in eV per atom: -0.077
E in eV/atom: -4.12